Density functional theory data (PBE-GGA) for K2N2F7 after structural relaxation.

E (eV/cell): -86.59
Total moment (μB/f.u.): 1.00
Space group: P2_1/c (14)
Uncorrected formation energy (eV/atom): -1.032

Unit cell a=4.503 b=11.738 c=7.657 alpha=90.00 beta=110.73 gamma=90.00
Atoms (fractional coordinates):
K: 0.140 0.105 0.367
K: 0.140 0.395 0.867
K: 0.860 0.605 0.133
K: 0.860 0.895 0.633
N: 0.355 0.586 0.674
N: 0.355 0.914 0.174
N: 0.645 0.086 0.826
N: 0.645 0.414 0.326
F: 0.100 0.644 0.548
F: 0.100 0.856 0.048
F: 0.252 0.608 0.962
F: 0.252 0.892 0.462
F: 0.410 0.167 0.774
F: 0.410 0.333 0.274
F: 0.500 0.000 0.000
F: 0.500 0.500 0.500
F: 0.590 0.667 0.726
F: 0.590 0.833 0.226
F: 0.748 0.108 0.538
F: 0.748 0.392 0.038
F: 0.900 0.144 0.952
F: 0.900 0.356 0.452

Density functional theory data (PBE-GGA) for Ho5CdCu after structural relaxation.

E (eV/cell): -55.39
Total moment (μB/f.u.): 0.00
Energy of formation from the pure elements (meV per atom): 29
Space group: C2/c (15)

Unit cell a=6.357 b=6.357 c=11.376 alpha=104.93 beta=104.93 gamma=63.29
Atoms (fractional coordinates):
Ho: 0.013 0.987 0.750
Ho: 0.070 0.397 0.639
Ho: 0.214 0.520 0.945
Ho: 0.397 0.070 0.139
Ho: 0.480 0.786 0.555
Ho: 0.520 0.214 0.445
Ho: 0.603 0.930 0.861
Ho: 0.786 0.480 0.055
Ho: 0.930 0.603 0.361
Ho: 0.987 0.013 0.250
Cd: 0.451 0.549 0.250
Cd: 0.549 0.451 0.750
Cu: 0.000 0.000 0.000
Cu: 0.000 0.000 0.500

Density functional theory data (PBE-GGA) for Ta2AgCl after structural relaxation.

E (eV/cell): -26.85
Total moment (μB/f.u.): 0.00
Space group: Pm (6)
Uncorrected formation energy (eV/atom): 0.388

Unit cell a=2.890 b=4.664 c=5.311 alpha=90.00 beta=97.19 gamma=90.00
Atoms (fractional coordinates):
Ta: 0.000 0.000 0.000
Ta: 0.243 0.500 0.696
Ag: 0.618 0.500 0.208
Cl: 0.153 0.000 0.518

Density functional theory data (PBE-GGA) for Nd2Zn4PdPt3 after structural relaxation.

E (eV/cell): -45.37
Total moment (μB/f.u.): 0.00
Energy of formation from the pure elements (meV per atom): -743
Space group: P-4m2 (115)

Unit cell a=4.214 b=4.214 c=10.814 alpha=90.00 beta=90.00 gamma=90.00
Atoms (fractional coordinates):
Nd: 0.000 0.500 0.246
Nd: 0.500 0.000 0.754
Zn: 0.000 0.000 0.500
Zn: 0.000 0.500 0.869
Zn: 0.500 0.000 0.131
Zn: 0.500 0.500 0.500
Pd: 0.500 0.500 0.000
Pt: 0.000 0.000 0.000
Pt: 0.000 0.500 0.639
Pt: 0.500 0.000 0.361

Density functional theory data (PBE-GGA) for KZrZn2 after structural relaxation.

E (eV/cell): -33.50
Total moment (μB/f.u.): 0.00
Energy of formation from the pure elements (meV per atom): 257
Space group: R-3m (166)

Unit cell a=3.428 b=3.428 c=29.501 alpha=90.00 beta=90.00 gamma=120.00
Atoms (fractional coordinates):
K: 0.000 0.000 0.000
K: 0.333 0.667 0.667
K: 0.667 0.333 0.333
Zr: 0.000 0.000 0.500
Zr: 0.333 0.667 0.167
Zr: 0.667 0.333 0.833
Zn: 0.000 0.000 0.237
Zn: 0.000 0.000 0.763
Zn: 0.333 0.667 0.430
Zn: 0.333 0.667 0.903
Zn: 0.667 0.333 0.097
Zn: 0.667 0.333 0.570

Density functional theory data (PBE-GGA) for SrUAsO5 after structural relaxation.

E (eV/cell): -125.35
Total moment (μB/f.u.): 1.00
Space group: C2/c (15)
Uncorrected formation energy (eV/atom): -2.533

Unit cell a=6.165 b=6.165 c=8.203 alpha=106.53 beta=106.53 gamma=98.37
Atoms (fractional coordinates):
Sr: 0.066 0.934 0.750
Sr: 0.934 0.066 0.250
U: 0.000 0.500 0.000
U: 0.500 0.000 0.500
As: 0.445 0.555 0.750
As: 0.555 0.445 0.250
O: 0.172 0.251 0.055
O: 0.216 0.784 0.250
O: 0.246 0.619 0.867
O: 0.251 0.172 0.555
O: 0.381 0.754 0.633
O: 0.619 0.246 0.367
O: 0.749 0.828 0.445
O: 0.754 0.381 0.133
O: 0.784 0.216 0.750
O: 0.828 0.749 0.945

Density functional theory data (PBE-GGA) for SrAgSb2I after structural relaxation.

E (eV/cell): -11.61
Total moment (μB/f.u.): 1.89
Space group: P4/mmm (123)
Uncorrected formation energy (eV/atom): 0.543

Unit cell a=6.305 b=6.305 c=6.188 alpha=90.00 beta=90.00 gamma=90.00
Atoms (fractional coordinates):
Sr: 0.000 0.000 0.000
Ag: 0.500 0.500 0.500
Sb: 0.000 0.500 0.000
Sb: 0.500 0.000 0.000
I: 0.000 0.000 0.500

Density functional theory data (PBE-GGA) for Tm4CdGaRh2 after structural relaxation.

E (eV/cell): -41.74
Total moment (μB/f.u.): 0.00
Energy of formation from the pure elements (meV per atom): -651
Space group: R-3m (166)

Unit cell a=8.556 b=8.556 c=8.556 alpha=33.54 beta=33.54 gamma=33.54
Atoms (fractional coordinates):
Tm: 0.123 0.123 0.123
Tm: 0.373 0.373 0.373
Tm: 0.627 0.627 0.627
Tm: 0.877 0.877 0.877
Cd: 0.500 0.500 0.500
Ga: 0.000 0.000 0.000
Rh: 0.249 0.249 0.249
Rh: 0.751 0.751 0.751

Density functional theory data (PBE-GGA) for SiAsRu after structural relaxation.

E (eV/cell): -80.33
Total moment (μB/f.u.): 0.00
Space group: P2_1/c (14)
Uncorrected formation energy (eV/atom): -0.245

Unit cell a=5.831 b=5.896 c=6.418 alpha=90.00 beta=116.74 gamma=90.00
Atoms (fractional coordinates):
Si: 0.147 0.141 0.298
Si: 0.147 0.359 0.798
Si: 0.853 0.641 0.202
Si: 0.853 0.859 0.702
As: 0.335 0.595 0.160
As: 0.335 0.905 0.660
As: 0.665 0.095 0.340
As: 0.665 0.405 0.840
Ru: 0.253 0.002 0.994
Ru: 0.253 0.498 0.494
Ru: 0.747 0.502 0.506
Ru: 0.747 0.998 0.006

Density functional theory data (PBE-GGA) for Er3Cr5S12 after structural relaxation.

E (eV/cell): -529.92
Total moment (μB/f.u.): 15.00
Space group: Ia-3d (230)
Uncorrected formation energy (eV/atom): -1.057

Unit cell a=12.824 b=12.824 c=12.824 alpha=109.47 beta=109.47 gamma=109.47
Atoms (fractional coordinates):
Er: 0.125 0.250 0.375
Er: 0.125 0.375 0.750
Er: 0.250 0.375 0.125
Er: 0.250 0.875 0.625
Er: 0.375 0.125 0.250
Er: 0.375 0.750 0.125
Er: 0.625 0.250 0.875
Er: 0.625 0.875 0.750
Er: 0.750 0.125 0.375
Er: 0.750 0.625 0.875
Er: 0.875 0.625 0.250
Er: 0.875 0.750 0.625
Cr: 0.000 0.000 0.000
Cr: 0.000 0.000 0.500
Cr: 0.000 0.500 0.000
Cr: 0.000 0.500 0.500
Cr: 0.125 0.750 0.875
Cr: 0.125 0.875 0.250
Cr: 0.250 0.125 0.875
Cr: 0.250 0.625 0.375
Cr: 0.375 0.250 0.625
Cr: 0.375 0.625 0.750
Cr: 0.500 0.000 0.000
Cr: 0.500 0.000 0.500
Cr: 0.500 0.500 0.000
Cr: 0.500 0.500 0.500
Cr: 0.625 0.375 0.250
Cr: 0.625 0.750 0.375
Cr: 0.750 0.375 0.625
Cr: 0.750 0.875 0.125
Cr: 0.875 0.125 0.750
Cr: 0.875 0.250 0.125
S: 0.031 0.209 0.122
S: 0.031 0.323 0.909
S: 0.086 0.709 0.677
S: 0.086 0.878 0.409
S: 0.091 0.622 0.414
S: 0.091 0.969 0.677
S: 0.122 0.031 0.209
S: 0.122 0.591 0.914
S: 0.177 0.209 0.586
S: 0.177 0.469 0.591
S: 0.209 0.122 0.031
S: 0.209 0.586 0.177
S: 0.291 0.323 0.914
S: 0.291 0.469 0.378
S: 0.323 0.909 0.031
S: 0.323 0.914 0.291
S: 0.378 0.291 0.469
S: 0.378 0.586 0.909
S: 0.409 0.086 0.878
S: 0.409 0.823 0.531
S: 0.414 0.091 0.622
S: 0.414 0.823 0.791
S: 0.469 0.378 0.291
S: 0.469 0.591 0.177
S: 0.531 0.409 0.823
S: 0.531 0.622 0.709
S: 0.586 0.177 0.209
S: 0.586 0.909 0.378
S: 0.591 0.177 0.469
S: 0.591 0.914 0.122
S: 0.622 0.414 0.091
S: 0.622 0.709 0.531
S: 0.677 0.086 0.709
S: 0.677 0.091 0.969
S: 0.709 0.531 0.622
S: 0.709 0.677 0.086
S: 0.791 0.414 0.823
S: 0.791 0.878 0.969
S: 0.823 0.531 0.409
S: 0.823 0.791 0.414
S: 0.878 0.409 0.086
S: 0.878 0.969 0.791
S: 0.909 0.031 0.323
S: 0.909 0.378 0.586
S: 0.914 0.122 0.591
S: 0.914 0.291 0.323
S: 0.969 0.677 0.091
S: 0.969 0.791 0.878

Density functional theory data (PBE-GGA) for NaPmSO5 after structural relaxation.

E (eV/cell): -104.20
Total moment (μB/f.u.): 0.00
Space group: C2/c (15)
Uncorrected formation energy (eV/atom): -2.139

Unit cell a=6.090 b=6.090 c=8.114 alpha=108.05 beta=108.05 gamma=97.25
Atoms (fractional coordinates):
Na: 0.169 0.831 0.750
Na: 0.831 0.169 0.250
Pm: 0.500 0.500 0.000
Pm: 0.500 0.500 0.500
S: 0.157 0.843 0.250
S: 0.843 0.157 0.750
O: 0.103 0.220 0.866
O: 0.202 0.703 0.373
O: 0.220 0.103 0.366
O: 0.297 0.798 0.127
O: 0.405 0.595 0.750
O: 0.595 0.405 0.250
O: 0.703 0.202 0.873
O: 0.780 0.897 0.634
O: 0.798 0.297 0.627
O: 0.897 0.780 0.134

Density functional theory data (PBE-GGA) for LaPmAg after structural relaxation.

E (eV/cell): -52.01
Total moment (μB/f.u.): 0.00
Energy of formation from the pure elements (meV per atom): -158
Space group: C2/m (12)

Unit cell a=17.183 b=3.786 c=5.584 alpha=90.00 beta=90.12 gamma=90.00
Atoms (fractional coordinates):
La: 0.080 0.000 0.247
La: 0.420 0.500 0.753
La: 0.580 0.500 0.247
La: 0.920 0.000 0.753
Pm: 0.225 0.000 0.749
Pm: 0.275 0.500 0.251
Pm: 0.725 0.500 0.749
Pm: 0.775 0.000 0.251
Ag: 0.080 0.500 0.746
Ag: 0.420 0.000 0.254
Ag: 0.580 0.000 0.746
Ag: 0.920 0.500 0.254